Record 1
Ta2SbRu, relaxed, DFT PBE-GGA; E_tot = -37.1 eV per cell
1.0
5.325 -0.080 0.309
4.208 3.264 0.309
1.605 0.536 4.098
Ru Sb Ta
1 1 2
direct
0.498 0.498 0.499 Ru
0.238 0.238 0.264 Sb
0.003 0.003 0.996 Ta
0.760 0.760 0.742 Ta

***

Record 2
Ba2BeTc, relaxed, DFT PBE-GGA; ΔH_f (0 K) = 1.028 eV per atom
1.0
3.769 0.000 0.000
0.000 3.728 0.012
0.000 3.690 8.407
Be Ba Tc
1 2 1
direct
0.500 0.250 0.250 Be
0.000 0.000 0.000 Ba
0.000 0.500 0.500 Ba
0.500 0.750 0.750 Tc